DFT (PBE) results for Ni2HgMo after structural relaxation.

For the energy relative to the elements, the calculation gives 267 meV per atom. The calculation puts the total magnetization at 0.0000 μB per atom.

The space group is P4mm (No. 99) and the conventional cell measures 3.0002, 3.0002 and 6.4847 Å, with angles of 90.00, 90.00 and 90.00 degrees. The inequivalent atoms are Ni at (0.0000, 0.0000, 0.0000), Ni at (0.5000, 0.5000, 0.1928), Hg at (0.0000, 0.0000, 0.4589) and Mo at (0.5000, 0.5000, 0.7884).

DFT (PBE) results for Bi3Te3S after structural relaxation.

For the uncorrected formation energy, the calculation gives -1.085 eV/f.u. The calculation puts the total magnetization at 0.0000 μB per atom.

The space group is P6_3/m (No. 176) and the conventional cell measures 9.5068, 9.5068 and 6.5659 Å, with angles of 90.00, 90.00 and 120.00 degrees. The inequivalent atoms are Bi at (0.0689, 0.3754, 0.2500), Te at (0.0495, 0.3525, 0.7500) and S at (0.3333, 0.6667, 0.2500).

DFT (PBE) results for PuZnAu11 after structural relaxation.

For the energy relative to the elements, the calculation gives -142 meV per atom. The calculation puts the total magnetization at 0.4261 μB per atom.

The space group is C2/m (No. 12) and the conventional cell measures 5.5719, 13.4209 and 7.2198 Å, with angles of 90.00, 111.35 and 90.00 degrees. The inequivalent atoms are Pu at (0.0000, 0.0000, 0.0000), Zn at (0.0000, 0.5000, 0.5000), Au at (0.0000, 0.0000, 0.5000), Au at (0.0943, 0.3947, 0.2186), Au at (0.1750, 0.1704, 0.3496) and Au at (0.2500, 0.2500, 0.0000).

Please write out number 3 again, unchanged.
DFT (PBE) results for PuZnAu11 after structural relaxation.

For the energy relative to the elements, the calculation gives -142 meV per atom. The calculation puts the total magnetization at 0.4261 μB per atom.

The space group is C2/m (No. 12) and the conventional cell measures 5.5719, 13.4209 and 7.2198 Å, with angles of 90.00, 111.35 and 90.00 degrees. The inequivalent atoms are Pu at (0.0000, 0.0000, 0.0000), Zn at (0.0000, 0.5000, 0.5000), Au at (0.0000, 0.0000, 0.5000), Au at (0.0943, 0.3947, 0.2186), Au at (0.1750, 0.1704, 0.3496) and Au at (0.2500, 0.2500, 0.0000).

Q: Among the records above, which one has the highest total magnetization?
A: PuZnAu11

Q: Which formula does entry 2 have?
A: Bi3Te3S

Q: Which value of total magnetization does entry 2 give?
A: 0.0000 μB per atom